(1)
PBE-GGA CsSrUBr6, relaxed; total moment = 3.000 μB per formula unit; formation energy (no corrections) = -1702 meV per atom
1.0
7.893 0.000 0.000
-3.946 6.835 0.000
0.000 0.000 15.572
Br Sr Cs U
12 2 2 2
Direct
0.372 0.986 0.641
0.386 0.014 0.141
0.014 0.628 0.859
0.628 0.614 0.141
0.614 0.986 0.859
0.014 0.386 0.641
0.386 0.372 0.359
0.628 0.014 0.359
0.372 0.386 0.859
0.986 0.372 0.141
0.614 0.628 0.641
0.986 0.614 0.359
0.667 0.333 0.750
0.333 0.667 0.250
0.000 0.000 0.500
0.000 0.000 0.000
0.333 0.667 0.750
0.667 0.333 0.250

=====

(2)
PBE-GGA Cs2SrUBr6, relaxed; Fermi-level density of states = 0.623 states/eV/atom; total moment = 3.848 μB per formula unit; formation energy (no corrections) = -1537 meV per atom
1.0
-7.717 -2.741 2.131
2.401 -7.967 -1.553
3.550 -1.148 11.377
Cs Br U Sr
4 12 2 2
Direct
0.000 0.249 0.253
0.500 0.751 0.247
0.500 0.751 0.753
0.000 0.249 0.747
0.744 0.501 0.000
0.500 0.248 0.753
0.753 0.996 0.500
0.000 0.752 0.253
0.756 0.499 0.500
0.500 0.248 0.247
0.256 0.501 0.000
0.253 0.004 0.000
0.747 0.004 0.000
0.000 0.752 0.747
0.247 0.996 0.500
0.244 0.499 0.500
0.500 0.252 0.000
0.000 0.748 0.500
0.500 0.248 0.500
0.000 0.752 0.000

=====

(3)
PBE-GGA CsSr2VBr8, relaxed; Fermi-level density of states = 0.768 states/eV/atom; total moment = 2.000 μB per formula unit; formation energy (no corrections) = -1555 meV per atom
1.0
-3.626 5.502 -2.180
0.637 -2.042 -6.463
-8.115 -5.030 0.763
Br V Cs Sr
8 1 1 2
Direct
0.308 0.233 0.001
0.414 0.258 0.500
0.151 0.780 0.814
0.851 0.222 0.814
0.692 0.767 0.999
0.849 0.220 0.186
0.586 0.742 0.500
0.149 0.778 0.186
0.000 0.000 0.000
0.000 0.000 0.500
0.500 0.500 0.242
0.500 0.500 0.758

=====

(4)
PBE-GGA CsSrVBr6, relaxed; Fermi-level density of states = 1.229 states/eV/atom; total moment = 2.000 μB per formula unit; formation energy (no corrections) = -1475 meV per atom
1.0
7.445 0.000 0.000
3.723 6.448 0.000
0.000 0.000 7.913
Br Cs V Sr
6 1 1 1
Direct
0.049 0.607 0.692
0.344 0.049 0.692
0.607 0.049 0.308
0.049 0.344 0.308
0.344 0.607 0.308
0.607 0.344 0.692
0.000 0.000 0.000
0.333 0.333 0.500
0.667 0.667 0.500

=====

(5)
PBE-GGA Cs2SrVBr6, relaxed; Fermi-level density of states = 0.000 states/eV/atom; total moment = 3.000 μB per formula unit; formation energy (no corrections) = -1592 meV per atom
1.0
-1.455 0.470 -7.871
-7.147 -3.459 1.114
-6.656 3.610 -2.638
Cs Br Sr V
2 6 1 1
Direct
0.750 0.250 0.500
0.250 0.750 0.500
0.266 0.734 0.000
0.734 0.266 0.000
0.266 0.266 0.000
0.734 0.734 0.532
0.266 0.266 0.468
0.734 0.734 0.000
0.000 0.000 0.000
0.500 0.500 0.000

=====

(6)
PBE-GGA CsSrV2Br8, relaxed; Fermi-level density of states = 0.759 states/eV/atom; total moment = 5.000 μB per formula unit; formation energy (no corrections) = -1211 meV per atom
1.0
-5.745 1.510 -4.007
5.842 -2.828 -3.035
-3.797 -9.747 1.771
Br V Sr Cs
8 2 1 1
Direct
0.335 0.335 0.318
0.665 0.665 0.682
0.665 0.000 0.318
0.667 0.333 0.030
0.335 0.000 0.682
0.000 0.665 0.318
0.333 0.667 0.970
0.000 0.335 0.682
0.667 0.333 0.257
0.333 0.667 0.743
0.000 0.000 0.500
0.000 0.000 0.000

=====

(7)
PBE-GGA Cs2SrWBr, relaxed; Fermi-level density of states = 0.108 states/eV/atom; total moment = 5.012 μB per formula unit; formation energy (no corrections) = 987 meV per atom
1.0
-5.530 5.479 -2.766
-5.638 -3.064 5.203
1.694 3.753 4.046
Br Cs W Sr
1 2 1 1
Direct
0.000 0.000 0.500
0.000 0.500 0.000
0.500 0.000 0.000
0.500 0.500 0.500
0.000 0.000 0.000

=====

(8)
PBE-GGA Cs2SrZnBr6, relaxed; Fermi-level density of states = 0.000 states/eV/atom; total moment = 0.000 μB per formula unit; formation energy (no corrections) = -1587 meV per atom
1.0
8.029 0.000 0.000
0.000 8.029 0.000
4.014 4.014 5.677
Br Cs Sr Zn
6 2 1 1
Direct
0.266 0.734 0.000
0.734 0.734 0.532
0.734 0.266 0.000
0.266 0.266 0.000
0.734 0.734 0.000
0.266 0.266 0.468
0.750 0.250 0.500
0.250 0.750 0.500
0.000 0.000 0.000
0.500 0.500 0.000

=====

(9)
PBE-GGA Cs3TaBr7, relaxed; Fermi-level density of states = 0.629 states/eV/atom; total moment = 1.001 μB per formula unit; formation energy (no corrections) = -1353 meV per atom
1.0
6.848 0.146 2.590
-1.433 6.698 2.590
-1.348 -1.704 9.145
Cs Br Ta
3 7 1
Direct
0.690 0.149 0.472
0.507 0.507 0.922
0.149 0.690 0.472
0.903 0.903 0.771
0.140 0.140 0.197
0.030 0.681 0.117
0.620 0.620 0.523
0.021 0.363 0.838
0.681 0.030 0.117
0.363 0.021 0.838
0.021 0.021 0.982

=====

(10)
PBE-GGA CsTaBr3, relaxed; Fermi-level density of states = 0.765 states/eV/atom; total moment = 3.005 μB per formula unit; formation energy (no corrections) = -642 meV per atom
1.0
-3.859 1.405 -3.640
-1.434 -5.272 -0.514
-3.629 0.590 4.075
Cs Br Ta
1 3 1
Direct
0.500 0.500 0.500
0.000 0.000 0.500
0.500 0.000 0.000
0.000 0.500 0.000
0.000 0.000 0.000

=====

(11)
PBE-GGA Cs6TaBr12, relaxed; Fermi-level density of states = 1.810 states/eV/atom; total moment = 1.663 μB per formula unit; formation energy (no corrections) = -1354 meV per atom
1.0
-5.124 0.589 8.807
4.907 -7.888 4.226
7.020 5.856 4.537
Br Cs Ta
12 6 1
Direct
0.739 0.010 0.511
0.142 0.183 0.906
0.094 0.858 0.817
0.906 0.142 0.183
0.817 0.094 0.858
0.511 0.739 0.010
0.010 0.511 0.739
0.183 0.906 0.142
0.489 0.261 0.990
0.990 0.489 0.261
0.261 0.990 0.489
0.858 0.817 0.094
0.760 0.467 0.003
0.467 0.003 0.760
0.240 0.533 0.997
0.003 0.760 0.467
0.997 0.240 0.533
0.533 0.997 0.240
0.000 0.000 0.000

=====

(12)
PBE-GGA CsTaBr5, relaxed; Fermi-level density of states = 0.491 states/eV/atom; total moment = 1.002 μB per formula unit; formation energy (no corrections) = -1082 meV per atom
1.0
8.049 1.261 1.731
3.045 7.557 1.731
1.056 0.840 10.366
Ta Br Cs
2 10 2
Direct
0.000 0.000 0.000
0.000 0.000 0.500
0.358 0.904 0.451
0.914 0.355 0.415
0.096 0.642 0.049
0.645 0.086 0.085
0.044 0.956 0.250
0.642 0.096 0.549
0.956 0.044 0.750
0.086 0.645 0.585
0.904 0.358 0.951
0.355 0.914 0.915
0.502 0.498 0.250
0.498 0.502 0.750

=====

(13)
PBE-GGA CsTaBr4, relaxed; Fermi-level density of states = 0.235 states/eV/atom; total moment = 0.000 μB per formula unit; formation energy (no corrections) = -1040 meV per atom
1.0
-2.501 6.353 -0.574
3.883 0.940 -6.522
-6.147 -8.250 -0.364
Cs Ta Br
2 2 8
Direct
0.836 0.807 0.615
0.164 0.193 0.385
0.741 0.526 0.052
0.259 0.474 0.948
0.000 0.273 0.000
0.857 0.316 0.632
0.592 0.386 0.195
0.000 0.727 0.000
0.592 0.809 0.195
0.408 0.614 0.805
0.408 0.191 0.805
0.143 0.684 0.368

=====

(14)
PBE-GGA Cs2Ta3Br9, relaxed; total moment = 0.000 μB per formula unit; formation energy (no corrections) = -1157 meV per atom
1.0
10.542 -0.245 -2.500
-3.698 8.963 -4.879
-0.172 0.139 10.852
Br Cs Ta
18 4 6
Direct
0.197 0.072 0.874
0.803 0.928 0.126
0.810 0.485 0.105
0.803 0.126 0.928
0.500 0.199 0.801
0.517 0.179 0.380
0.178 0.691 0.691
0.190 0.895 0.515
0.517 0.380 0.179
0.822 0.309 0.309
0.197 0.874 0.072
0.483 0.620 0.821
0.190 0.515 0.895
0.500 0.801 0.199
0.483 0.821 0.620
0.771 0.758 0.758
0.810 0.105 0.485
0.229 0.242 0.242
0.176 0.547 0.234
0.824 0.766 0.453
0.824 0.453 0.766
0.176 0.234 0.547
0.630 0.203 0.044
0.370 0.956 0.797
0.385 0.102 0.102
0.630 0.044 0.203
0.615 0.898 0.898
0.370 0.797 0.956

=====

(15)
PBE-GGA Cs2TaTcBr, relaxed; Fermi-level density of states = 0.524 states/eV/atom; total moment = 0.007 μB per formula unit; formation energy (no corrections) = 672 meV per atom
1.0
6.868 0.000 0.000
0.000 4.586 0.000
0.000 0.000 6.868
Cs Tc Ta Br
2 1 1 1
Direct
0.000 0.000 0.500
0.500 0.000 0.000
0.000 0.000 0.000
0.000 0.500 0.000
0.500 0.500 0.500

=====

(16)
PBE-GGA Cs2TaTlBr6, relaxed; Fermi-level density of states = 1.207 states/eV/atom; total moment = 2.000 μB per formula unit; formation energy (no corrections) = -1141 meV per atom
1.0
8.250 0.000 0.000
0.000 8.250 0.000
4.125 4.125 5.833
Br Ta Cs Tl
6 1 2 1
Direct
0.274 0.726 0.000
0.274 0.274 0.452
0.726 0.726 0.000
0.726 0.726 0.548
0.274 0.274 0.000
0.726 0.274 0.000
0.500 0.500 0.000
0.750 0.250 0.500
0.250 0.750 0.500
0.000 0.000 0.000

=====

(17)
PBE-GGA Cs2YTaBr6, relaxed; Fermi-level density of states = 0.310 states/eV/atom; total moment = 2.000 μB per formula unit; formation energy (no corrections) = -1167 meV per atom
1.0
-1.203 0.344 -7.709
-7.716 -0.159 1.197
-4.533 5.613 -2.998
Br Cs Ta Y
6 2 1 1
Direct
0.757 0.243 0.000
0.757 0.757 0.487
0.243 0.243 0.000
0.243 0.243 0.513
0.757 0.757 0.000
0.243 0.757 0.000
0.250 0.750 0.500
0.750 0.250 0.500
0.000 0.000 0.000
0.500 0.500 0.000

=====

(18)
PBE-GGA Cs6Tb3Br14, relaxed; Fermi-level density of states = 0.443 states/eV/atom; total moment = 1.012 μB per formula unit; formation energy (no corrections) = -1761 meV per atom
1.0
-2.960 1.004 -6.405
3.861 -12.129 -3.686
-11.821 1.735 5.734
Br Cs Tb
14 6 3
Direct
0.471 0.261 0.449
0.957 0.148 0.932
0.437 0.000 0.000
0.277 0.871 0.401
0.714 0.801 0.537
0.471 0.188 0.739
0.471 0.551 0.812
0.957 0.068 0.216
0.277 0.599 0.470
0.957 0.784 0.852
0.714 0.463 0.264
0.714 0.736 0.199
0.957 0.333 0.667
0.277 0.530 0.129
0.245 0.306 0.213
0.245 0.907 0.694
0.769 0.544 0.569
0.245 0.787 0.093
0.769 0.431 0.975
0.769 0.025 0.456
0.495 0.667 0.333
0.339 0.333 0.667
0.818 0.000 0.000

=====

(19)
PBE-GGA Cs3TbBr6, relaxed; Fermi-level density of states = 0.000 states/eV/atom; total moment = 0.000 μB per formula unit; formation energy (no corrections) = -1876 meV per atom
1.0
-0.433 5.196 -6.671
4.409 -6.018 -4.973
-10.513 -4.910 -3.380
Br Tb Cs
12 2 6
Direct
0.662 0.238 0.567
0.838 0.738 0.933
0.886 0.954 0.218
0.614 0.454 0.282
0.338 0.762 0.433
0.770 0.673 0.548
0.730 0.173 0.952
0.230 0.327 0.452
0.162 0.262 0.067
0.386 0.546 0.718
0.270 0.827 0.048
0.114 0.046 0.782
0.500 0.500 0.500
0.000 0.000 0.000
0.026 0.569 0.255
0.474 0.069 0.245
0.974 0.431 0.745
0.526 0.931 0.755
0.500 0.500 0.000
0.000 0.000 0.500